Entry 1:
An optimized crystal structure of Ti4CrSn. Source: Alexandria, functional PBE-GGA.

a b c (Å): 3.319 3.319 9.133
angles (deg): 90.00 90.00 90.00
Positions (direct):
1 Ti 0.000 0.000 0.149
2 Ti 0.000 0.000 0.851
3 Ti 0.500 0.500 0.316
4 Ti 0.500 0.500 0.684
5 Cr 0.500 0.500 0.000
6 Sn 0.000 0.000 0.500

Results
- Formation energy from the elements: -0.06 eV/atom
- Energy: -7.59 eV/atom

=====

Entry 2:
An optimized crystal structure of Ti8CrSn2. Source: Alexandria, functional PBE-GGA.

a b c (Å): 7.701 7.701 7.701
angles (deg): 144.42 132.89 60.40
Positions (direct):
1 Ti 0.134 0.371 0.763
2 Ti 0.172 0.172 0.000
3 Ti 0.253 0.000 0.253
4 Ti 0.391 0.629 0.763
5 Ti 0.609 0.371 0.237
6 Ti 0.747 0.000 0.747
7 Ti 0.828 0.828 0.000
8 Ti 0.866 0.629 0.237
9 Cr 0.000 0.500 0.500
10 Sn 0.312 0.812 0.500
11 Sn 0.688 0.188 0.500

Results
- Formation energy from the elements: -0.18 eV/atom
- Energy: -7.52 eV/atom

=====

Entry 3:
An optimized crystal structure of TiCr3Sn. Source: Alexandria, functional PBE-GGA.

a b c (Å): 4.976 4.976 4.976
angles (deg): 90.00 90.00 90.00
Positions (direct):
1 Ti 0.000 0.000 0.000
2 Cr 0.000 0.500 0.500
3 Cr 0.500 0.000 0.500
4 Cr 0.500 0.500 0.000
5 Sn 0.500 0.500 0.500

Results
- Offset from the most stable computed form: 288 meV per atom
- Formation energy from the elements: 1.58 eV/atom
- Energy: -6.57 eV/atom

=====

Computed total magnetization (μB per cell) in order:
0.639, 0.047, 9.459
Computed volume (Å³/atom) in order:
16.766, 17.524, 24.643